Here is crystalline RbRu3C at its relaxed geometry from Alexandria via LeMat-Bulk. Energies are from PBE.

Cell: 4.2631 4.2631 4.2631 Å, 90.00 90.00 90.00°
Closest atoms and distances in Å follow each position.
Fractional coordinates of all 5 atoms:
1 Rb 0.0000 0.0000 0.0000  12 Ru 3.01
2 Ru 0.0000 0.5000 0.5000  2 C 2.13
3 Ru 0.5000 0.0000 0.5000  2 C 2.13
4 Ru 0.5000 0.5000 0.0000  2 C 2.13
5 C 0.5000 0.5000 0.5000  6 Ru 2.13

Summary:
The calculation puts the calculated volume at 77 Å³/cell. For the energy of formation from the pure elements, the calculation gives 1.185 eV/atom. As for the space group: Pm-3m. The relative energy among the computed polymorphs comes out at 0 meV/atom.


Here is crystalline Ca2PrAgO4 at its relaxed geometry from Alexandria via LeMat-Bulk. Energies are from PBE.

Cell: 5.8958 3.5385 6.0851 Å, 90.00 108.61 90.00°
Closest atoms and distances in Å follow each position.
Fractional coordinates of all 8 atoms:
1 Ca 0.0000 0.0000 0.0000  6 O 2.33-2.37
2 Ca 0.5000 0.5000 0.0000  6 O 2.44-2.51
3 Pr 0.0000 0.5000 0.5000  6 O 2.44-2.47
4 Ag 0.5000 0.0000 0.5000  6 O 2.54-2.61
5 O 0.2250 0.5000 0.2254  3 Ca 2.37-2.44, 1 Pr 2.44, 2 Ag 2.61
6 O 0.2346 0.0000 0.7567  3 Ca 2.33-2.51, 2 Pr 2.47, 1 Ag 2.54
7 O 0.7654 0.0000 0.2433  3 Ca 2.33-2.51, 2 Pr 2.47, 1 Ag 2.54
8 O 0.7750 0.5000 0.7746  3 Ca 2.37-2.44, 1 Pr 2.44, 2 Ag 2.61

Summary:
The calculation puts the calculated volume at 120 Å³/cell. As for the space group: P2/m. The value obtained for the raw formation energy is -2.42 eV/atom.


Here is crystalline Cu4Pt3Au2 at its relaxed geometry from Alexandria via LeMat-Bulk. Energies are from PBE.

Cell: 3.9757 4.6393 8.1750 Å, 76.96 89.90 64.69°
Closest atoms and distances in Å follow each position.
Fractional coordinates of all 9 atoms:
1 Cu 0.0043 0.4899 0.3383  3 Cu 2.67-2.85, 6 Pt 2.68-2.81, 3 Au 2.74-2.75
2 Cu 0.3346 0.8299 0.1110  4 Pt 2.67-2.73, 4 Au 2.67-2.72, 4 Cu 2.83-2.85
3 Cu 0.6654 0.1701 0.8890  4 Pt 2.67-2.73, 4 Au 2.67-2.72, 4 Cu 2.83-2.85
4 Cu 0.9957 0.5101 0.6617  3 Cu 2.67-2.85, 6 Pt 2.68-2.81, 3 Au 2.74-2.75
5 Pt 0.0000 0.5000 0.0000  8 Cu 2.70-2.75, 4 Au 2.80
6 Pt 0.3358 0.8267 0.4375  6 Cu 2.67-2.81, 3 Pt 2.68-2.81, 3 Au 2.81-2.84
7 Pt 0.6642 0.1733 0.5625  6 Cu 2.67-2.81, 3 Pt 2.68-2.81, 3 Au 2.81-2.84
8 Au 0.3318 0.8376 0.7833  7 Cu 2.67-2.75, 5 Pt 2.80-2.84
9 Au 0.6682 0.1624 0.2167  7 Cu 2.67-2.75, 5 Pt 2.80-2.84

Summary:
The calculation puts the calculated volume at 132 Å³/cell. For the energy of formation from the pure elements, the calculation gives -0.082 eV/atom. As for the space group: P-1.


Here is crystalline K2Te3H4 at its relaxed geometry from Alexandria via LeMat-Bulk. Energies are from PBE.

Cell: 5.8346 7.3870 11.4434 Å, 75.91 78.26 77.01°
Closest atoms and distances in Å follow each position.
Fractional coordinates of all 18 atoms:
1 K 0.0818 0.3003 0.3671  1 H 2.71
2 K 0.2026 0.2006 0.9496  3 H 2.66-2.85
3 K 0.7974 0.7994 0.0504  3 H 2.66-2.85
4 K 0.9182 0.6997 0.6329  1 H 2.71
5 Te 0.0809 0.8248 0.3062  1 H 2.71, 1 Te 2.98
6 Te 0.3711 0.6529 0.8620  1 H 1.72
7 Te 0.4173 0.2449 0.6274  1 H 1.74
8 Te 0.5827 0.7551 0.3726  1 H 1.74
9 Te 0.6289 0.3471 0.1380  1 H 1.72
10 Te 0.9191 0.1752 0.6938  1 H 2.71, 1 Te 2.98
11 H 0.1781 0.8402 0.7925  1 Te 1.72
12 H 0.2845 0.5135 0.7546  1 Te 1.98
13 H 0.3905 0.8363 0.9537  1 Te 1.94
14 H 0.4924 0.0591 0.5496  1 H 1.57, 1 Te 1.74
15 H 0.5076 0.9409 0.4504  1 H 1.57, 1 Te 1.74
16 H 0.6095 0.1637 0.0463  1 Te 1.94
17 H 0.7155 0.4865 0.2454  1 Te 1.98
18 H 0.8219 0.1598 0.2075  1 Te 1.72

Summary:
The calculation puts the calculated volume at 460 Å³/cell. As for the space group: P-1. Its raw total energy is -52.61 eV for the cell shown.


Here is crystalline Li2CdRe at its relaxed geometry from Alexandria via LeMat-Bulk. Energies are from PBE.

Cell: 4.9686 4.9686 5.1933 Å, 96.75 96.75 30.57°
Closest atoms and distances in Å follow each position.
Fractional coordinates of all 4 atoms:
1 Li 0.2475 0.2475 0.2160  4 Li 2.60-2.62, 3 Re 2.79-2.82
2 Li 0.7525 0.7525 0.7840  4 Li 2.60-2.62, 3 Re 2.79-2.82
3 Cd 0.0000 0.0000 0.5000  2 Cd 2.62, 4 Re 2.91
4 Re 0.5000 0.5000 0.0000  2 Re 2.62, 6 Li 2.79-2.82, 4 Cd 2.91

Summary:
The calculation puts the calculated volume at 65 Å³/cell. For the energy of formation from the pure elements, the calculation gives 0.314 eV/atom. As for the space group: C2/m.


Here is crystalline Pr5TeSe4 at its relaxed geometry from Alexandria via LeMat-Bulk. Energies are from PBE.

Cell: 15.6000 15.6000 15.6000 Å, 164.07 164.07 22.60°
Closest atoms and distances in Å follow each position.
Fractional coordinates of all 10 atoms:
1 Pr 0.0000 0.0000 0.0000  2 Se 3.05, 4 Te 3.06
2 Pr 0.1977 0.1977 0.0000  6 Se 3.00-3.06
3 Pr 0.3950 0.3950 0.0000  5 Se 3.00-3.06, 1 Te 3.21
4 Pr 0.6050 0.6050 0.0000  5 Se 3.00-3.06, 1 Te 3.21
5 Pr 0.8023 0.8023 0.0000  6 Se 3.00-3.06
6 Te 0.5000 0.5000 0.0000  6 Pr 3.06-3.21
7 Se 0.0997 0.0997 0.0000  6 Pr 3.00-3.06
8 Se 0.2970 0.2970 0.0000  6 Pr 3.00-3.06
9 Se 0.7030 0.7030 0.0000  6 Pr 3.00-3.06
10 Se 0.9003 0.9003 0.0000  6 Pr 3.00-3.06

Summary:
The calculation puts the calculated volume at 286 Å³/cell. As for the space group: I4/mmm. The value obtained for the raw formation energy is -1.74 eV/atom. The relative energy among the computed polymorphs comes out at 20 meV/atom.